# 1
This record from Alexandria via LeMat-Bulk describes Sr2Ag5HgPd2 after structural relaxation. The functional is PBE-GGA.

It has space group P4/mbm (No. 127), with a = 10.0918 Å, b = 10.0918 Å, c = 4.3117 Å, α = 90.00°, β = 90.00° and γ = 90.00°. The distinct sites, in fractional coordinates, are Sr at (0.1758, 0.3242, 0.0000), Ag at (0.0000, 0.5000, 0.5000), Ag at (0.0613, 0.7955, 0.5000), Hg at (0.0000, 0.0000, 0.0000) and Pd at (0.1220, 0.6220, 0.0000).

The electronic total energy is -3.099 eV/atom. The value obtained for the density of states at the Fermi level is 0.38 states/eV per atom. The formation energy comes out at -0.268 eV/atom.

***

# 2
This record from Alexandria via LeMat-Bulk describes Sr2AgHg2Pd5 after structural relaxation. The functional is PBE-GGA.

It has space group P4/mbm (No. 127), with a = 10.2655 Å, b = 10.2655 Å, c = 4.0351 Å, α = 90.00°, β = 90.00° and γ = 90.00°. The distinct sites, in fractional coordinates, are Sr at (0.1737, 0.3263, 0.0000), Ag at (0.0000, 0.0000, 0.0000), Hg at (0.1262, 0.6262, 0.0000), Pd at (0.0000, 0.5000, 0.5000) and Pd at (0.0578, 0.8067, 0.5000).

The electronic total energy is -3.619 eV/atom. The value obtained for the density of states at the Fermi level is 0.31 states/eV per atom. The formation energy comes out at -0.341 eV/atom.

***

# 3
This record from Alexandria via LeMat-Bulk describes SrAgHg3Pd after structural relaxation. The functional is PBE-GGA.

It has space group Cmcm (No. 63), with a = 9.1030 Å, b = 12.0368 Å, c = 6.0355 Å, α = 90.00°, β = 90.00° and γ = 90.00°. The distinct sites, in fractional coordinates, are Sr at (0.0000, 0.1859, 0.2500), Ag at (0.0000, 0.4547, 0.2500), Hg at (0.0000, 0.3066, 0.7500), Hg at (0.2397, 0.0000, 0.0000) and Pd at (0.0000, 0.0763, 0.7500).

The electronic total energy is -1.961 eV/atom. The value obtained for the density of states at the Fermi level is 0.54 states/eV per atom. The formation energy comes out at -0.189 eV/atom.

***

# 4
This record from Alexandria via LeMat-Bulk describes Sr2AgHg6Pd after structural relaxation. The functional is PBE-GGA.

It has space group R-3m (No. 166, hexagonal axes), with a = 7.1623 Å, b = 7.1623 Å, c = 37.6214 Å, α = 90.00°, β = 90.00° and γ = 120.00°. The distinct sites, in fractional coordinates, are Sr at (0.0000, 0.0000, 0.1190), Sr at (0.0000, 0.0000, 0.2914), Ag at (0.0000, 0.0000, 0.0000), Ag at (0.0000, 0.0000, 0.5000), Hg at (0.0250, 0.5125, 0.2909), Hg at (0.0598, 0.5299, 0.8723) and Pd at (0.0000, 0.0000, 0.4270).

The electronic total energy is -1.585 eV/atom. The value obtained for the density of states at the Fermi level is 0.47 states/eV per atom. The formation energy comes out at -0.264 eV/atom.

***

# 5
This record from Alexandria via LeMat-Bulk describes TbAgHgPd after structural relaxation. The functional is PBE-GGA.

It has space group F-43m (No. 216), with a = 6.9112 Å, b = 6.9112 Å, c = 6.9112 Å, α = 90.00°, β = 90.00° and γ = 90.00°. The distinct sites, in fractional coordinates, are Tb at (0.0000, 0.0000, 0.0000), Ag at (0.2500, 0.2500, 0.2500), Hg at (0.0000, 0.0000, 0.5000) and Pd at (0.2500, 0.2500, 0.7500).

The electronic total energy is -3.693 eV/atom. The value obtained for the density of states at the Fermi level is 0.51 states/eV per atom. The formation energy comes out at -0.449 eV/atom.

***

# 6
This record from Alexandria via LeMat-Bulk describes Tb4Ag2HgPd after structural relaxation. The functional is PBE-GGA.

It has space group R-3m (No. 166, hexagonal axes), with a = 5.1512 Å, b = 5.1512 Å, c = 25.1600 Å, α = 90.00°, β = 90.00° and γ = 120.00°. The distinct sites, in fractional coordinates, are Tb at (0.0000, 0.0000, 0.1201), Tb at (0.0000, 0.0000, 0.3711), Ag at (0.0000, 0.0000, 0.2462), Hg at (0.0000, 0.0000, 0.5000) and Pd at (0.0000, 0.0000, 0.0000).

The electronic total energy is -4.214 eV/atom. The value obtained for the density of states at the Fermi level is 0.58 states/eV per atom. The formation energy comes out at -0.499 eV/atom.

***

# 7
This record from Alexandria via LeMat-Bulk describes ThAgHgPd after structural relaxation. The functional is PBE-GGA.

It has space group F-43m (No. 216), with a = 7.0642 Å, b = 7.0642 Å, c = 7.0642 Å, α = 90.00°, β = 90.00° and γ = 90.00°. The distinct sites, in fractional coordinates, are Th at (0.0000, 0.0000, 0.0000), Ag at (0.2500, 0.2500, 0.2500), Hg at (0.0000, 0.0000, 0.5000) and Pd at (0.2500, 0.2500, 0.7500).

The electronic total energy is -4.291 eV/atom. The value obtained for the density of states at the Fermi level is 0.77 states/eV per atom. The formation energy comes out at -0.349 eV/atom.

***

# 8
This record from Alexandria via LeMat-Bulk describes TiAgHgPd after structural relaxation. The functional is PBE-GGA.

It has space group F-43m (No. 216), with a = 6.5365 Å, b = 6.5365 Å, c = 6.5365 Å, α = 90.00°, β = 90.00° and γ = 90.00°. The distinct sites, in fractional coordinates, are Ti at (0.0000, 0.0000, 0.0000), Ag at (0.2500, 0.2500, 0.2500), Hg at (0.0000, 0.0000, 0.5000) and Pd at (0.2500, 0.2500, 0.7500).

The electronic total energy is -4.165 eV/atom. The value obtained for the density of states at the Fermi level is 1.01 states/eV per atom. The formation energy comes out at -0.105 eV/atom.

***

# 9
This record from Alexandria via LeMat-Bulk describes TlAgHgPd after structural relaxation. The functional is PBE-GGA.

It has space group F-43m (No. 216), with a = 6.8362 Å, b = 6.8362 Å, c = 6.8362 Å, α = 90.00°, β = 90.00° and γ = 90.00°. The distinct sites, in fractional coordinates, are Tl at (0.0000, 0.0000, 0.0000), Ag at (0.2500, 0.2500, 0.2500), Hg at (0.0000, 0.0000, 0.5000) and Pd at (0.2500, 0.2500, 0.7500).

The electronic total energy is -2.664 eV/atom. The value obtained for the density of states at the Fermi level is 0.41 states/eV per atom. The formation energy comes out at 0.014 eV/atom.

***

# 10
This record from Alexandria via LeMat-Bulk describes Tl2AgHg2Pd5 after structural relaxation. The functional is PBE-GGA.

It has space group P4/mbm (No. 127), with a = 10.9363 Å, b = 10.9363 Å, c = 3.2611 Å, α = 90.00°, β = 90.00° and γ = 90.00°. The distinct sites, in fractional coordinates, are Tl at (0.1585, 0.3415, 0.0000), Ag at (0.0000, 0.0000, 0.0000), Hg at (0.1534, 0.6534, 0.0000), Pd at (0.0001, 0.2055, 0.5000) and Pd at (0.0000, 0.5000, 0.5000).

The electronic total energy is -3.431 eV/atom. The value obtained for the density of states at the Fermi level is 0.35 states/eV per atom. The formation energy comes out at -0.016 eV/atom.

***

# 11
This record from Alexandria via LeMat-Bulk describes Tl2Ag2HgPd5 after structural relaxation. The functional is PBE-GGA.

It has space group P4/mbm (No. 127), with a = 9.9248 Å, b = 9.9248 Å, c = 3.8977 Å, α = 90.00°, β = 90.00° and γ = 90.00°. The distinct sites, in fractional coordinates, are Tl at (0.1525, 0.3475, 0.0000), Ag at (0.1503, 0.6503, 0.0000), Hg at (0.0000, 0.0000, 0.0000), Pd at (0.0000, 0.5000, 0.5000) and Pd at (0.0037, 0.7933, 0.5000).

The electronic total energy is -3.694 eV/atom. The value obtained for the density of states at the Fermi level is 0.38 states/eV per atom. The formation energy comes out at -0.024 eV/atom.

***

# 12
This record from Alexandria via LeMat-Bulk describes TmAgHgPd after structural relaxation. The functional is PBE-GGA.

It has space group F-43m (No. 216), with a = 6.8359 Å, b = 6.8359 Å, c = 6.8359 Å, α = 90.00°, β = 90.00° and γ = 90.00°. The distinct sites, in fractional coordinates, are Tm at (0.0000, 0.0000, 0.0000), Ag at (0.2500, 0.2500, 0.2500), Hg at (0.0000, 0.0000, 0.5000) and Pd at (0.2500, 0.2500, 0.7500).

The electronic total energy is -3.664 eV/atom. The value obtained for the density of states at the Fermi level is 0.51 states/eV per atom. The formation energy comes out at -0.459 eV/atom.

***

What is the formula in the twelfth record? TmAgHgPd